# 1
Crystalline BiS2 at its relaxed geometry. Source: the Alexandria database, functional PBE.

Results
ΔE_f (raw)   0.176 eV per atom

Cell lengths 7.0516, 7.0516, 7.0516 Å; angles 123.53, 123.53, 83.98 degrees
Last column: magnetic moment on the atom in μB.
Atoms (fractional coordinates):
Bi1 0.0000 0.0000 0.0000  0.03
Bi2 0.7500 0.2500 0.5000  0.03
S1 0.1038 0.1250 0.4788  0.27
S2 0.8750 0.3538 0.9788  0.27
S3 0.6462 0.6250 0.5212  0.27
S4 0.3750 0.8962 0.0212  0.27

=====

# 2
Crystalline BiS3 at its relaxed geometry. Source: the Alexandria database, functional PBE.

Results
Distance to the lowest polymorph of the same formula   0.0000 eV/atom
ΔE_f (raw)   -0.046 eV per atom

Cell lengths 4.0035, 5.8542, 9.6039 Å; angles 106.85, 90.00, 90.00 degrees
Atoms (fractional coordinates):
Bi1 0.2500 0.6681 0.3578
Bi2 0.7500 0.3319 0.6422
S1 0.2500 0.2670 0.8795
S2 0.7500 0.7330 0.1205
S3 0.7500 0.7747 0.5555
S4 0.2500 0.2253 0.4445
S5 0.7500 0.3958 0.1256
S6 0.2500 0.6042 0.8744

=====

# 3
Crystalline BiS at its relaxed geometry. Source: the Alexandria database, functional PBE.

Results
ΔE_f (raw)   -0.078 eV per atom

Cell lengths 11.9029, 11.9029, 15.2218 Å; angles 90.00, 90.00, 152.09 degrees
Atoms (fractional coordinates):
Bi1 0.8268 0.1975 0.1004
Bi2 0.1975 0.8268 0.8996
Bi3 0.8268 0.1975 0.8996
Bi4 0.1975 0.8268 0.1004
Bi5 0.7050 0.3345 0.3047
Bi6 0.3345 0.7050 0.6953
Bi7 0.7050 0.3345 0.6953
Bi8 0.3345 0.7050 0.3047
Bi9 0.8497 0.2174 0.5000
Bi10 0.2174 0.8497 0.5000
S1 0.7070 0.3142 0.1228
S2 0.3142 0.7070 0.8772
S3 0.7070 0.3142 0.8772
S4 0.3142 0.7070 0.1228
S5 0.8123 0.2081 0.3155
S6 0.2081 0.8123 0.6845
S7 0.8123 0.2081 0.6845
S8 0.2081 0.8123 0.3155
S9 0.7553 0.3651 0.5000
S10 0.3651 0.7553 0.5000

=====

# 4
Crystalline BiS at its relaxed geometry. Source: the Alexandria database, functional PBE.

Results
ΔE_f (raw)   -0.066 eV per atom

Cell lengths 4.2053, 4.2053, 4.2053 Å; angles 60.00, 60.00, 60.00 degrees
Atoms (fractional coordinates):
S1 0.0000 0.0000 0.0000
Bi1 0.5000 0.5000 0.5000

=====

# 5
Crystalline BiS2 at its relaxed geometry. Source: the Alexandria database, functional PBE.

Results
ΔE_f (raw)   -0.265 eV per atom

Cell lengths 4.0806, 8.2194, 9.6716 Å; angles 82.38, 77.81, 75.65 degrees
Atoms (fractional coordinates):
S1 0.6573 0.5312 0.1549
S2 0.2083 0.9308 0.6516
S3 0.0784 0.3830 0.4599
S4 0.7912 0.0692 0.3484
S5 0.9640 0.1218 0.9507
S6 0.9212 0.6170 0.5401
S7 0.3432 0.4688 0.8451
S8 0.0366 0.8781 0.0493
Bi1 0.7011 0.6969 0.9022
Bi2 0.6095 0.1781 0.6027
Bi3 0.3899 0.8218 0.3973
Bi4 0.2994 0.3030 0.0978

=====

# 6
Crystalline BiS3 at its relaxed geometry. Source: the Alexandria database, functional PBE.

Results
Distance to the lowest polymorph of the same formula   0.4328 eV/atom
ΔE_f (raw)   0.387 eV per atom

Cell lengths 7.1302, 7.1302, 3.8760 Å; angles 90.00, 90.00, 120.00 degrees
Atoms (fractional coordinates):
Bi1 0.3333 0.6667 0.7500
Bi2 0.6667 0.3333 0.2500
S1 0.1620 0.3241 0.2500
S2 0.6759 0.8380 0.2500
S3 0.1620 0.8380 0.2500
S4 0.8380 0.6759 0.7500
S5 0.3241 0.1620 0.7500
S6 0.8380 0.1620 0.7500

=====

# 7
Crystalline Bi2S at its relaxed geometry. Source: the Alexandria database, functional PBE.

Results
ΔE_f (raw)   -0.029 eV per atom

Cell lengths 12.0425, 4.1743, 7.4516 Å; angles 73.81, 90.00, 90.00 degrees
Atoms (fractional coordinates):
Bi1 0.6510 0.4941 0.0087
Bi2 0.1510 0.0059 0.9913
Bi3 0.3490 0.5059 0.9913
Bi4 0.8490 0.9941 0.0087
Bi5 0.6229 0.8124 0.3747
Bi6 0.1229 0.6876 0.6253
Bi7 0.3771 0.1876 0.6253
Bi8 0.8771 0.3124 0.3747
S1 0.0925 0.3330 0.3340
S2 0.5925 0.1670 0.6660
S3 0.9075 0.6670 0.6660
S4 0.4075 0.8330 0.3340

=====

# 8
Crystalline BiS at its relaxed geometry. Source: the Alexandria database, functional PBE.

Results
ΔE_f (raw)   -0.192 eV per atom

Cell lengths 7.2525, 7.7659, 8.2050 Å; angles 90.00, 90.00, 90.00 degrees
Atoms (fractional coordinates):
Bi1 0.8412 0.2500 0.1246
Bi2 0.3412 0.2500 0.3754
Bi3 0.1588 0.7500 0.8754
Bi4 0.6588 0.7500 0.6246
Bi5 0.4643 0.2500 0.9402
Bi6 0.9643 0.2500 0.5598
Bi7 0.5357 0.7500 0.0598
Bi8 0.0357 0.7500 0.4402
S1 0.2758 0.4858 0.1462
S2 0.7758 0.0142 0.3538
S3 0.7242 0.9858 0.8538
S4 0.2242 0.5142 0.6462
S5 0.7242 0.5142 0.8538
S6 0.2242 0.9858 0.6462
S7 0.2758 0.0142 0.1462
S8 0.7758 0.4858 0.3538

=====

# 9
Crystalline Bi5S8 at its relaxed geometry. Source: the Alexandria database, functional PBE.

Results
ΔE_f (raw)   -0.256 eV per atom

Cell lengths 8.2886, 8.2886, 8.2886 Å; angles 60.00, 60.00, 60.00 degrees
Atoms (fractional coordinates):
Bi1 0.8983 0.3672 0.3672
Bi2 0.3672 0.8983 0.3672
Bi3 0.3672 0.3672 0.8983
Bi4 0.3672 0.3672 0.3672
Bi5 0.7500 0.7500 0.7500
S1 0.5983 0.1339 0.1339
S2 0.1339 0.5983 0.1339
S3 0.1339 0.1339 0.5983
S4 0.1339 0.1339 0.1339
S5 0.1383 0.6206 0.6206
S6 0.6206 0.1383 0.6206
S7 0.6206 0.6206 0.1383
S8 0.6206 0.6206 0.6206

=====

# 10
Crystalline BiS at its relaxed geometry. Source: the Alexandria database, functional PBE.

Results
ΔE_f (raw)   -0.014 eV per atom

Cell lengths 8.4861, 8.4861, 5.6238 Å; angles 90.00, 90.00, 120.00 degrees
Atoms (fractional coordinates):
Bi1 0.0378 0.3114 0.2500
Bi2 0.7264 0.0378 0.7500
Bi3 0.6886 0.7264 0.2500
Bi4 0.9622 0.6886 0.7500
Bi5 0.2736 0.9622 0.2500
Bi6 0.3114 0.2736 0.7500
S1 0.6491 0.0511 0.2500
S2 0.5981 0.6491 0.7500
S3 0.9489 0.5981 0.2500
S4 0.3509 0.9489 0.7500
S5 0.4019 0.3509 0.2500
S6 0.0511 0.4019 0.7500

=====

# 11
Crystalline BiS at its relaxed geometry. Source: the Alexandria database, functional PBE.

Results
ΔE_f (raw)   -0.061 eV per atom

Cell lengths 4.1976, 15.7997, 6.3560 Å; angles 90.00, 90.00, 90.00 degrees
Atoms (fractional coordinates):
Bi1 0.0000 0.2720 0.8038
Bi2 0.0000 0.7280 0.8038
Bi3 0.0000 0.7720 0.3038
Bi4 0.0000 0.2280 0.3038
Bi5 0.5000 0.0000 0.6767
Bi6 0.5000 0.5000 0.1767
S1 0.5000 0.8203 0.6440
S2 0.5000 0.1797 0.6440
S3 0.5000 0.3203 0.1440
S4 0.5000 0.6797 0.1440
S5 0.0000 0.0000 0.4296
S6 0.0000 0.5000 0.9296

=====

# 12
Crystalline Bi4S at its relaxed geometry. Source: the Alexandria database, functional PBE.

Results
ΔE_f (raw)   0.356 eV per atom

Cell lengths 5.4480, 5.4480, 5.4480 Å; angles 90.00, 90.00, 90.00 degrees
Atoms (fractional coordinates):
S1 0.5000 0.5000 0.5000
Bi1 0.0000 0.0000 0.0000
Bi2 0.5000 0.0000 0.5000
Bi3 0.0000 0.5000 0.5000
Bi4 0.5000 0.5000 0.0000

=====

Which formula does entry 10 have?
BiS

=====

Number 3 is which compound?
BiS

=====

Look up the ΔE_f (raw) of the twelfth one.
0.356 eV per atom

=====

ΔE_f (raw) of number 2 (BiS3)?
-0.046 eV per atom